Computed, not measured: a geometry-optimized LaCd3C4O12 structure at the PBE-GGA level of DFT.

Cell and atoms, written as CIF:
```
data_LaCd3C4O12
_chemical_formula_sum 'La3 Cd9 C12 O36'
_space_group_name_H-M_alt 'R 3 2'
_space_group_IT_number 155
_space_group_name_Hall 'R 3 2"'
_cell_length_a 10.1924
_cell_length_b 10.1924
_cell_length_c 8.9049
_cell_angle_alpha 90.00
_cell_angle_beta 90.00
_cell_angle_gamma 120.00
loop_
_atom_site_label
_atom_site_fract_x
_atom_site_fract_y
_atom_site_fract_z
_atom_site_occupancy
La1 0.0000 0.0000 0.0000 1
Cd1 0.0000 0.5227 0.0000 1
C1 0.0000 0.0000 0.5000 1
C2 0.0000 0.4734 0.5000 1
O1 0.0000 0.6001 0.5000 1
O2 0.0000 0.8721 0.5000 1
O3 0.0125 0.2048 0.8387 1
```

DOS at the Fermi energy: 3.60 states/eV/f.u.
ΔE_f (raw): -1527.2 meV per atom

Computed, not measured: a geometry-optimized La2CdOsC structure at the PBE-GGA level of DFT.

Cell and atoms, written as CIF:
```
data_La2CdOsC
_chemical_formula_sum 'La2 Cd1 Os1 C1'
_space_group_name_H-M_alt 'P 4/m m m'
_space_group_IT_number 123
_space_group_name_Hall '-P 4 2'
_cell_length_a 5.406
_cell_length_b 5.406
_cell_length_c 3.947
_cell_angle_alpha 90.00
_cell_angle_beta 90.00
_cell_angle_gamma 90.00
loop_
_atom_site_label
_atom_site_fract_x
_atom_site_fract_y
_atom_site_fract_z
_atom_site_occupancy
La1 0.000 0.500 0.000 1
Cd1 0.000 0.000 0.500 1
Os1 0.500 0.500 0.500 1
C1 0.500 0.500 0.000 1
```

DOS at the Fermi energy: 2.61 states/eV/f.u.
energy of formation: -0.27 eV/atom

Computed, not measured: a geometry-optimized LaCdPbC2 structure at the PBE-GGA level of DFT.

Cell and atoms, written as CIF:
```
data_LaCdPbC2
_chemical_formula_sum 'La1 Cd1 Pb1 C2'
_space_group_name_H-M_alt 'P 4/m m m'
_space_group_IT_number 123
_space_group_name_Hall '-P 4 2'
_cell_length_a 4.572
_cell_length_b 4.572
_cell_length_c 5.432
_cell_angle_alpha 90.00
_cell_angle_beta 90.00
_cell_angle_gamma 90.00
loop_
_atom_site_label
_atom_site_fract_x
_atom_site_fract_y
_atom_site_fract_z
_atom_site_occupancy
La1 0.000 0.000 0.000 1
Cd1 0.500 0.500 0.500 1
Pb1 0.500 0.500 0.000 1
C1 0.000 0.500 0.500 1
```

DOS at the Fermi energy: 3.90 states/eV/f.u.
energy of formation: 1.79 eV/atom

Computed, not measured: a geometry-optimized LaPm2CdC structure at the PBE-GGA level of DFT.

Cell and atoms, written as CIF:
```
data_LaPm2CdC
_chemical_formula_sum 'La1 Pm2 Cd1 C1'
_space_group_name_H-M_alt 'P 4/m m m'
_space_group_IT_number 123
_space_group_name_Hall '-P 4 2'
_cell_length_a 5.103
_cell_length_b 5.103
_cell_length_c 5.219
_cell_angle_alpha 90.00
_cell_angle_beta 90.00
_cell_angle_gamma 90.00
loop_
_atom_site_label
_atom_site_fract_x
_atom_site_fract_y
_atom_site_fract_z
_atom_site_occupancy
La1 0.000 0.000 0.000 1
Pm1 0.000 0.500 0.500 1
Cd1 0.500 0.500 0.000 1
C1 0.000 0.000 0.500 1
```

DOS at the Fermi energy: 5.41 states/eV/f.u.
energy of formation: -0.17 eV/atom

| no. | magnetization (μB/cell) | energy (eV per atom) |
| --- | --- | --- |
| 1 | 0.7 | -6.7305 |
| 2 | 0.0 | -6.5178 |
| 3 | 0.0 | -3.8089 |
| 4 | 0.0 | -5.0875 |